The following is a PBE calculation of a relaxed Rb2PbOF6 crystal, from Alexandria via LeMat-Bulk.

Computed properties:
Formation energy without anion corrections (eV/atom): -1.851
D(E_F) (states/eV per cell): 0.0

a b c (Å): 6.4570 6.4570 6.6825
angles (deg): 61.11 61.11 90.00
Site moments in Bohr magnetons follow the coordinates.
Fractional coordinates of all 10 atoms:
1 Rb 0.2500 0.7500 0.5000  0.00
2 Rb 0.7500 0.2500 0.5000  0.00
3 F 0.7695 0.7695 0.0000  0.02
4 F 0.2153 0.2153 0.5694  0.01
5 F 0.2305 0.2305 0.0000  0.02
6 F 0.2305 0.7695 0.0000  0.02
7 F 0.7695 0.2305 0.0000  0.02
8 F 0.7847 0.7847 0.4306  0.01
9 Pb 0.0000 0.0000 0.0000  0.01
10 O 0.5000 0.5000 0.0000  1.51


The following is a PBE calculation of a relaxed RbPbOF2 crystal, from Alexandria via LeMat-Bulk.

Computed properties:
Formation energy without anion corrections (eV/atom): -0.957
Offset from the most stable computed form (eV/f.u.): 5.10
D(E_F) (states/eV per cell): 0.5

a b c (Å): 4.8584 4.8584 4.4567
angles (deg): 90.00 90.00 90.00
Fractional coordinates of all 5 atoms:
1 O 0.0000 0.0000 0.5000
2 F 0.0000 0.5000 0.0000
3 F 0.5000 0.0000 0.0000
4 Rb 0.0000 0.0000 0.0000
5 Pb 0.5000 0.5000 0.5000


The following is a PBE calculation of a relaxed Re2PbO6F crystal, from Alexandria via LeMat-Bulk.

Computed properties:
Formation energy without anion corrections (eV/atom): -1.329
D(E_F) (states/eV per cell): 6.4

a b c (Å): 8.0326 8.0326 5.6917
angles (deg): 89.31 89.31 123.11
Site moments in Bohr magnetons follow the coordinates.
Fractional coordinates of all 20 atoms:
1 Re 0.2226 0.4043 0.2758  0.15
2 Re 0.4043 0.2226 0.7758  0.15
3 Re 0.7774 0.5957 0.7242  0.15
4 Re 0.5957 0.7774 0.2242  0.15
5 O 0.6642 0.0166 0.1502  0.01
6 O 0.7922 0.8058 0.4750  0.01
7 O 0.3829 0.6565 0.4490  0.01
8 O 0.3435 0.6171 0.0510  0.01
9 O 0.0166 0.6642 0.6502  0.01
10 O 0.9834 0.3358 0.3498  0.01
11 O 0.2078 0.1942 0.5250  0.01
12 O 0.1942 0.2078 0.0250  0.01
13 O 0.8058 0.7922 0.9750  0.01
14 O 0.6565 0.3829 0.9490  0.01
15 O 0.6171 0.3435 0.5510  0.01
16 O 0.3358 0.9834 0.8498  0.01
17 F 0.4819 0.5181 0.7500  0.00
18 F 0.5181 0.4819 0.2500  0.00
19 Pb 0.8968 0.1032 0.7500  0.01
20 Pb 0.1032 0.8968 0.2500  0.01


The following is a PBE calculation of a relaxed RePbOF2 crystal, from Alexandria via LeMat-Bulk.

Computed properties:
Formation energy without anion corrections (eV/atom): -0.041
Offset from the most stable computed form (eV/f.u.): 4.56
D(E_F) (states/eV per cell): 0.8

a b c (Å): 4.7289 4.7289 4.3218
angles (deg): 90.00 90.00 90.00
Site moments in Bohr magnetons follow the coordinates.
Fractional coordinates of all 5 atoms:
1 O 0.0000 0.0000 0.5000  0.11
2 Re 0.5000 0.5000 0.5000  4.51
3 Pb 0.0000 0.0000 0.0000  -0.01
4 F 0.5000 0.0000 0.0000  0.07
5 F 0.0000 0.5000 0.0000  0.07


The following is a PBE calculation of a relaxed RePbOF2 crystal, from Alexandria via LeMat-Bulk.

Computed properties:
Formation energy without anion corrections (eV/atom): -0.953
Offset from the most stable computed form (eV/f.u.): 0.00
D(E_F) (states/eV per cell): 2.4

a b c (Å): 4.5299 4.5299 3.7808
angles (deg): 90.00 90.00 90.00
Fractional coordinates of all 5 atoms:
1 F 0.5000 0.0000 0.0000
2 F 0.0000 0.5000 0.0000
3 O 0.0000 0.0000 0.5000
4 Re 0.0000 0.0000 0.0000
5 Pb 0.5000 0.5000 0.5000


The following is a PBE calculation of a relaxed RePb2O2F4 crystal, from Alexandria via LeMat-Bulk.

Computed properties:
Formation energy without anion corrections (eV/atom): -1.671
D(E_F) (states/eV per cell): 4.0

a b c (Å): 4.4020 5.7519 5.7519
angles (deg): 65.31 86.95 86.95
Site moments in Bohr magnetons follow the coordinates.
Fractional coordinates of all 9 atoms:
1 Re 0.5000 0.0000 0.0000  0.65
2 F 0.7167 0.8097 0.3434  0.00
3 F 0.2833 0.1903 0.6566  0.00
4 F 0.7167 0.3434 0.8097  0.00
5 F 0.2833 0.6566 0.1903  0.00
6 O 0.2569 0.1667 0.1667  0.04
7 O 0.7431 0.8333 0.8333  0.04
8 Pb 0.2279 0.6911 0.6911  0.03
9 Pb 0.7721 0.3089 0.3089  0.03


The following is a PBE calculation of a relaxed RhPb2O4F crystal, from Alexandria via LeMat-Bulk.

Computed properties:
Formation energy without anion corrections (eV/atom): -1.063
D(E_F) (states/eV per cell): 2.6

a b c (Å): 3.3362 5.6383 6.7686
angles (deg): 67.33 75.73 72.79
Fractional coordinates of all 8 atoms:
1 F 0.5000 0.5000 0.5000
2 O 0.5989 0.7555 0.0468
3 O 0.4011 0.2445 0.9532
4 O 0.1538 0.9986 0.6937
5 O 0.8462 0.0014 0.3063
6 Pb 0.1924 0.3070 0.3082
7 Pb 0.8076 0.6930 0.6918
8 Rh 0.0000 0.0000 0.0000


The following is a PBE calculation of a relaxed Ru2PbOF crystal, from Alexandria via LeMat-Bulk.

Computed properties:
Formation energy without anion corrections (eV/atom): 1.358
D(E_F) (states/eV per cell): 6.6

a b c (Å): 5.2249 4.3112 5.2249
angles (deg): 90.00 90.00 90.00
Site moments in Bohr magnetons follow the coordinates.
Fractional coordinates of all 5 atoms:
1 Pb 0.0000 0.0000 0.0000  -0.09
2 O 0.0000 0.5000 0.0000  -0.03
3 F 0.5000 0.5000 0.5000  0.07
4 Ru 0.5000 0.0000 0.0000  1.93
5 Ru 0.0000 0.0000 0.5000  2.29


The following is a PBE calculation of a relaxed RuPbOF2 crystal, from Alexandria via LeMat-Bulk.

Computed properties:
Formation energy without anion corrections (eV/atom): -0.724
Offset from the most stable computed form (eV/f.u.): 1.76
D(E_F) (states/eV per cell): 3.5

a b c (Å): 3.8489 5.9783 3.8489
angles (deg): 90.00 90.00 90.00
Site moments in Bohr magnetons follow the coordinates.
Fractional coordinates of all 5 atoms:
1 F 0.0000 0.0000 0.5000  0.06
2 F 0.5000 0.0000 0.0000  0.17
3 Pb 0.0000 0.5000 0.0000  0.01
4 O 0.5000 0.5000 0.5000  0.16
5 Ru 0.0000 0.0000 0.0000  1.41


The following is a PBE calculation of a relaxed RuPbOF2 crystal, from Alexandria via LeMat-Bulk.

Computed properties:
Formation energy without anion corrections (eV/atom): -1.075
Offset from the most stable computed form (eV/f.u.): 0.00
D(E_F) (states/eV per cell): 2.7

a b c (Å): 4.5853 4.5853 3.7013
angles (deg): 90.00 90.00 90.00
Fractional coordinates of all 5 atoms:
1 O 0.0000 0.0000 0.5000
2 Ru 0.0000 0.0000 0.0000
3 F 0.5000 0.0000 0.0000
4 F 0.0000 0.5000 0.0000
5 Pb 0.5000 0.5000 0.5000


The following is a PBE calculation of a relaxed PbSO2F crystal, from Alexandria via LeMat-Bulk.

Computed properties:
Formation energy without anion corrections (eV/atom): -0.093
D(E_F) (states/eV per cell): 0.9

a b c (Å): 4.3214 4.3214 4.4944
angles (deg): 90.00 90.00 90.00
Site moments in Bohr magnetons follow the coordinates.
Fractional coordinates of all 5 atoms:
1 Pb 0.0000 0.0000 0.0000  -0.03
2 O 0.0000 0.5000 0.0000  0.39
3 O 0.5000 0.0000 0.0000  0.39
4 S 0.5000 0.5000 0.5000  1.46
5 F 0.0000 0.0000 0.5000  0.05


The following is a PBE calculation of a relaxed PbSOF2 crystal, from Alexandria via LeMat-Bulk.

Computed properties:
Formation energy without anion corrections (eV/atom): -0.609
Offset from the most stable computed form (eV/f.u.): 0.00
D(E_F) (states/eV per cell): 1.6

a b c (Å): 4.6225 4.6225 4.2408
angles (deg): 90.00 90.00 90.00
Site moments in Bohr magnetons follow the coordinates.
Fractional coordinates of all 5 atoms:
1 F 0.5000 0.0000 0.0000  0.06
2 F 0.0000 0.5000 0.0000  0.06
3 Pb 0.0000 0.0000 0.0000  -0.01
4 O 0.0000 0.0000 0.5000  0.22
5 S 0.5000 0.5000 0.5000  1.40


The following is a PBE calculation of a relaxed PbSOF2 crystal, from Alexandria via LeMat-Bulk.

Computed properties:
Formation energy without anion corrections (eV/atom): -0.144
Offset from the most stable computed form (eV/f.u.): 2.32
D(E_F) (states/eV per cell): 1.9

a b c (Å): 4.0784 4.7502 4.0784
angles (deg): 90.00 90.00 90.00
Site moments in Bohr magnetons follow the coordinates.
Fractional coordinates of all 5 atoms:
1 Pb 0.0000 0.5000 0.0000  0.01
2 S 0.5000 0.5000 0.5000  0.53
3 F 0.5000 0.0000 0.0000  0.06
4 F 0.0000 0.0000 0.5000  0.07
5 O 0.0000 0.0000 0.0000  0.02


The following is a PBE calculation of a relaxed PbSO2F crystal, from Alexandria via LeMat-Bulk.

Computed properties:
Formation energy without anion corrections (eV/atom): -0.606
D(E_F) (states/eV per cell): 2.4

a b c (Å): 3.7648 3.7648 5.6015
angles (deg): 90.00 90.00 90.00
Fractional coordinates of all 5 atoms:
1 S 0.0000 0.0000 0.0000
2 O 0.0000 0.5000 0.0000
3 O 0.5000 0.0000 0.0000
4 Pb 0.5000 0.5000 0.5000
5 F 0.0000 0.0000 0.5000


The following is a PBE calculation of a relaxed SbPbOF2 crystal, from Alexandria via LeMat-Bulk.

Computed properties:
Formation energy without anion corrections (eV/atom): -1.278
Offset from the most stable computed form (eV/f.u.): 0.00
D(E_F) (states/eV per cell): 2.6

a b c (Å): 4.5621 4.5621 4.5508
angles (deg): 90.00 90.00 90.00
Fractional coordinates of all 5 atoms:
1 O 0.0000 0.0000 0.5000
2 F 0.0000 0.5000 0.0000
3 F 0.5000 0.0000 0.0000
4 Sb 0.0000 0.0000 0.0000
5 Pb 0.5000 0.5000 0.5000


The following is a PBE calculation of a relaxed SbPbOF2 crystal, from Alexandria via LeMat-Bulk.

Computed properties:
Formation energy without anion corrections (eV/atom): -0.884
Offset from the most stable computed form (eV/f.u.): 1.97
D(E_F) (states/eV per cell): 3.0

a b c (Å): 4.6200 4.6200 4.5948
angles (deg): 90.00 90.00 90.00
Site moments in Bohr magnetons follow the coordinates.
Fractional coordinates of all 5 atoms:
1 F 0.0000 0.5000 0.0000  0.05
2 F 0.5000 0.0000 0.0000  0.05
3 Pb 0.0000 0.0000 0.0000  -0.01
4 Sb 0.5000 0.5000 0.5000  0.59
5 O 0.0000 0.0000 0.5000  -0.11


The following is a PBE calculation of a relaxed PbSeOF2 crystal, from Alexandria via LeMat-Bulk.

Computed properties:
Formation energy without anion corrections (eV/atom): -0.867
Offset from the most stable computed form (eV/f.u.): 0.00
D(E_F) (states/eV per cell): 3.3

a b c (Å): 4.7495 4.7495 3.8349
angles (deg): 90.00 90.00 90.00
Fractional coordinates of all 5 atoms:
1 F 0.5000 0.0000 0.0000
2 F 0.0000 0.5000 0.0000
3 Se 0.0000 0.0000 0.0000
4 Pb 0.5000 0.5000 0.5000
5 O 0.0000 0.0000 0.5000


The following is a PBE calculation of a relaxed PbSeO2F crystal, from Alexandria via LeMat-Bulk.

Computed properties:
Formation energy without anion corrections (eV/atom): -0.248
D(E_F) (states/eV per cell): 3.1

a b c (Å): 4.3517 4.3517 4.4827
angles (deg): 90.00 90.00 90.00
Site moments in Bohr magnetons follow the coordinates.
Fractional coordinates of all 5 atoms:
1 O 0.5000 0.0000 0.0000  0.25
2 O 0.0000 0.5000 0.0000  0.25
3 F 0.0000 0.0000 0.5000  0.06
4 Pb 0.0000 0.0000 0.0000  -0.01
5 Se 0.5000 0.5000 0.5000  1.34


The following is a PBE calculation of a relaxed PbSeO2F crystal, from Alexandria via LeMat-Bulk.

Computed properties:
Formation energy without anion corrections (eV/atom): -0.732
D(E_F) (states/eV per cell): 1.5

a b c (Å): 4.0510 4.0510 4.7958
angles (deg): 90.00 90.00 90.00
Fractional coordinates of all 5 atoms:
1 O 0.5000 0.0000 0.0000
2 O 0.0000 0.5000 0.0000
3 Pb 0.5000 0.5000 0.5000
4 F 0.0000 0.0000 0.5000
5 Se 0.0000 0.0000 0.0000


The following is a PBE calculation of a relaxed PbSeO4F crystal, from Alexandria via LeMat-Bulk.

Computed properties:
Formation energy without anion corrections (eV/atom): -0.913
D(E_F) (states/eV per cell): 4.1

a b c (Å): 5.9442 5.9442 7.0285
angles (deg): 76.88 76.88 75.58
Fractional coordinates of all 14 atoms:
1 O 0.5104 0.8600 0.8643
2 O 0.1400 0.4896 0.1357
3 O 0.5218 0.5218 0.2949
4 O 0.7744 0.7744 0.4969
5 O 0.2256 0.2256 0.5031
6 O 0.8600 0.5104 0.8643
7 O 0.4896 0.1400 0.1357
8 O 0.4782 0.4782 0.7051
9 F 0.0299 0.0299 0.1675
10 F 0.9701 0.9701 0.8325
11 Se 0.6508 0.6508 0.7206
12 Se 0.3492 0.3492 0.2794
13 Pb 0.2041 0.2041 0.8630
14 Pb 0.7959 0.7959 0.1370